[1]
Density functional theory data (PBE-GGA) for crystalline Pr2RePbO8 at its relaxed geometry.

Computed properties:
- Calculated density: 6.96 g cm⁻³
- Formation energy without anion corrections: -2.12 eV per atom
- DOS(E_F): 2.86 states/eV/f.u.
- Symmetry: C2/m, No. 12

Unit cell a=5.156 b=5.157 c=7.208 alpha=89.95 beta=89.96 gamma=91.67
Element x y z (fractional)
Pr1 0.498 0.498 0.757
Pr2 0.502 0.502 0.243
Re1 0.000 0.000 0.000
Pb1 0.000 0.000 0.500
O1 0.176 0.822 0.194
O2 0.735 0.735 0.998
O3 0.822 0.176 0.194
O4 0.824 0.178 0.806
O5 0.265 0.265 0.002
O6 0.178 0.824 0.806
O7 0.695 0.695 0.501
O8 0.305 0.305 0.499



[2]
Density functional theory data (PBE-GGA) for crystalline Pr2RhPbO6 at its relaxed geometry.

Computed properties:
- Calculated density: 7.83 g cm⁻³
- Formation energy without anion corrections: -2.03 eV per atom
- DOS(E_F): 5.66 states/eV/f.u.
- Symmetry: P2_1/c, No. 14

Unit cell a=5.712 b=6.114 c=8.355 alpha=90.00 beta=88.62 gamma=90.00
Element x y z (fractional)
Pr1 0.027 0.930 0.250
Pr2 0.527 0.570 0.750
Pr3 0.973 0.070 0.750
Pr4 0.473 0.430 0.250
Rh1 0.500 0.000 0.000
Rh2 0.000 0.500 0.500
Pb1 0.500 0.000 0.500
Pb2 0.000 0.500 0.000
O1 0.335 0.717 0.079
O2 0.835 0.783 0.579
O3 0.665 0.283 0.921
O4 0.165 0.217 0.421
O5 0.291 0.679 0.435
O6 0.791 0.821 0.935
O7 0.709 0.321 0.565
O8 0.209 0.179 0.065
O9 0.862 0.561 0.277
O10 0.362 0.939 0.777
O11 0.138 0.439 0.723
O12 0.638 0.061 0.223



[3]
Density functional theory data (PBE-GGA) for crystalline PrRuPb2O6 at its relaxed geometry.

Computed properties:
- Calculated density: 8.29 g cm⁻³
- Formation energy without anion corrections: -1.56 eV per atom
- DOS(E_F): 2.47 states/eV/f.u.
- Symmetry: P2_1/c, No. 14

Unit cell a=5.946 b=6.004 c=8.440 alpha=90.00 beta=90.21 gamma=90.00
Each line ends with the local moment (μB).
Element x y z (fractional)
Pr1 0.500 0.000 0.000  0.02
Pr2 0.000 0.500 0.500  0.02
Ru1 0.500 0.000 0.500  1.80
Ru2 0.000 0.500 0.000  1.80
Pb1 0.009 0.965 0.247  0.04
Pb2 0.509 0.535 0.747  0.04
Pb3 0.991 0.035 0.753  0.04
Pb4 0.491 0.465 0.253  0.04
O1 0.269 0.684 0.050  0.11
O2 0.769 0.816 0.550  0.11
O3 0.731 0.316 0.950  0.11
O4 0.231 0.184 0.450  0.11
O5 0.325 0.724 0.453  0.11
O6 0.825 0.776 0.953  0.11
O7 0.675 0.276 0.547  0.11
O8 0.175 0.224 0.047  0.11
O9 0.906 0.523 0.226  0.11
O10 0.406 0.977 0.726  0.11
O11 0.094 0.477 0.774  0.11
O12 0.594 0.023 0.274  0.11



[4]
Density functional theory data (PBE-GGA) for crystalline Pr2RuPbO8 at its relaxed geometry.

Computed properties:
- Calculated density: 6.81 g cm⁻³
- Formation energy without anion corrections: -1.79 eV per atom
- DOS(E_F): 2.47 states/eV/f.u.
- Symmetry: P-1, No. 2

Unit cell a=5.101 b=4.833 c=7.115 alpha=88.90 beta=89.65 gamma=92.38
Element x y z (fractional)
Pr1 0.449 0.426 0.754
Pr2 0.551 0.574 0.246
Ru1 0.000 0.000 0.000
Pb1 0.000 0.000 0.500
O1 0.136 0.786 0.220
O2 0.756 0.724 0.954
O3 0.770 0.133 0.211
O4 0.864 0.214 0.780
O5 0.244 0.276 0.046
O6 0.230 0.867 0.789
O7 0.697 0.692 0.537
O8 0.303 0.308 0.463



[5]
Density functional theory data (PBE-GGA) for crystalline PrRu2PbO8 at its relaxed geometry.

Computed properties:
- Calculated density: 4.91 g cm⁻³
- Formation energy without anion corrections: -1.27 eV per atom
- DOS(E_F): 5.44 states/eV/f.u.
- Symmetry: P-3m1, No. 164

Unit cell a=6.024 b=6.024 c=7.305 alpha=90.00 beta=90.00 gamma=120.00
Each line ends with the local moment (μB).
Element x y z (fractional)
Pr1 0.000 0.000 0.500  0.02
Ru1 0.667 0.333 0.200  0.82
Ru2 0.333 0.667 0.800  0.82
Pb1 0.000 0.000 0.000  0.02
O1 0.333 0.667 0.041  0.20
O2 0.332 0.167 0.277  0.10
O3 0.833 0.166 0.277  0.10
O4 0.667 0.333 0.959  0.20
O5 0.167 0.834 0.723  0.10
O6 0.668 0.833 0.723  0.10
O7 0.166 0.332 0.723  0.10
O8 0.834 0.668 0.277  0.10



[6]
Density functional theory data (PBE-GGA) for crystalline PrRuPb2O8 at its relaxed geometry.

Computed properties:
- Calculated density: 7.42 g cm⁻³
- Formation energy without anion corrections: -1.31 eV per atom
- DOS(E_F): 3.30 states/eV/f.u.
- Symmetry: P2/m, No. 10

Unit cell a=5.074 b=5.053 c=6.849 alpha=90.00 beta=90.00 gamma=88.87
Each line ends with the local moment (μB).
Element x y z (fractional)
Pr1 0.000 0.000 0.500  0.01
Ru1 0.000 0.000 0.000  1.57
Pb1 0.500 0.500 0.759  0.01
Pb2 0.500 0.500 0.241  0.01
O1 0.179 0.806 0.210  0.14
O2 0.710 0.726 0.000  0.06
O3 0.821 0.194 0.210  0.14
O4 0.821 0.194 0.790  0.14
O5 0.290 0.274 0.000  0.06
O6 0.179 0.806 0.790  0.14
O7 0.670 0.692 0.500  0.02
O8 0.330 0.308 0.500  0.02



Total magnetization (μB/f.u.)
0.00; 0.00; 2.84; 0.00; 3.02; 2.55